--- P ---
Material: Li2YCd6
Method: DFT, PBE-GGA
State: optimized geometry

Geometry as CIF:
```
data_Li2YCd6
_symmetry_space_group_name_H-M 'P 6/m m m'
_symmetry_Int_Tables_number 191
_symmetry_space_group_name_Hall '-P 6 2'
_cell_length_a 8.5795
_cell_length_b 8.5795
_cell_length_c 3.2294
_cell_angle_alpha 90.00
_cell_angle_beta 90.00
_cell_angle_gamma 120.00
loop_
_atom_site_label
_atom_site_fract_x
_atom_site_fract_y
_atom_site_fract_z
_atom_site_occupancy
Li1 0.3333 0.6667 0.0000 1
Y1 0.0000 0.0000 0.0000 1
Cd1 0.0000 0.3380 0.5000 1
```

=====

--- Q ---
Material: Li2YCd6
Method: DFT, PBE-GGA
State: optimized geometry

Geometry as CIF:
```
data_Li2YCd6
_symmetry_space_group_name_H-M 'P 6/m m m'
_symmetry_Int_Tables_number 191
_symmetry_space_group_name_Hall '-P 6 2'
_cell_length_a 5.9851
_cell_length_b 5.9851
_cell_length_c 7.7047
_cell_angle_alpha 90.00
_cell_angle_beta 90.00
_cell_angle_gamma 120.00
loop_
_atom_site_label
_atom_site_fract_x
_atom_site_fract_y
_atom_site_fract_z
_atom_site_occupancy
Li1 0.3333 0.6667 0.0000 1
Y1 0.0000 0.0000 0.5000 1
Cd1 0.0000 0.5000 0.3060 1
```

=====

Which one sits at the top of the stability order? P does.

=====

--- P ---
Material: Li3Y2Cd4
Method: DFT, PBE-GGA
State: optimized geometry

Geometry as CIF:
```
data_Li3Y2Cd4
_symmetry_space_group_name_H-M 'P -1'
_symmetry_Int_Tables_number 2
_cell_length_a 4.829
_cell_length_b 5.611
_cell_length_c 8.373
_cell_angle_alpha 75.89
_cell_angle_beta 89.76
_cell_angle_gamma 64.69
loop_
_symmetry_equiv_pos_as_xyz
'x,y,z'
'-x,-y,-z'
loop_
_atom_site_label
_atom_site_fract_x
_atom_site_fract_y
_atom_site_fract_z
_atom_site_occupancy
Li1 0.000 0.000 0.000 1
Li2 0.370 0.262 0.469 1
Y1 0.252 0.494 0.790 1
Cd1 0.079 0.841 0.363 1
Cd2 0.432 0.136 0.160 1
```

=====

--- Q ---
Material: Li3Y2Cd4
Method: DFT, PBE-GGA
State: optimized geometry

Geometry as CIF:
```
data_Li3Y2Cd4
_symmetry_space_group_name_H-M 'C m c e'
_symmetry_Int_Tables_number 64
_symmetry_space_group_name_Hall '-C 2ac 2'
_cell_length_a 5.940
_cell_length_b 15.962
_cell_length_c 8.409
_cell_angle_alpha 90.00
_cell_angle_beta 90.00
_cell_angle_gamma 90.00
loop_
_atom_site_label
_atom_site_fract_x
_atom_site_fract_y
_atom_site_fract_z
_atom_site_occupancy
Li1 0.000 0.000 0.000 1
Li2 0.250 0.224 0.250 1
Y1 0.000 0.111 0.590 1
Cd1 0.000 0.182 0.972 1
Cd2 0.250 0.054 0.250 1
```

=====

Which one sits at the top of the stability order? P does.

=====

--- P ---
Material: LiY3Cd2
Method: DFT, PBE-GGA
State: optimized geometry

Geometry as CIF:
```
data_LiY3Cd2
_symmetry_space_group_name_H-M 'P 4/m m m'
_symmetry_Int_Tables_number 123
_symmetry_space_group_name_Hall '-P 4 2'
_cell_length_a 3.754
_cell_length_b 3.754
_cell_length_c 11.179
_cell_angle_alpha 90.00
_cell_angle_beta 90.00
_cell_angle_gamma 90.00
loop_
_atom_site_label
_atom_site_fract_x
_atom_site_fract_y
_atom_site_fract_z
_atom_site_occupancy
Li1 0.000 0.000 0.000 1
Y1 0.500 0.500 0.168 1
Y2 0.500 0.500 0.500 1
Cd1 0.000 0.000 0.331 1
```

=====

--- Q ---
Material: LiY3Cd2
Method: DFT, PBE-GGA
State: optimized geometry

Geometry as CIF:
```
data_LiY3Cd2
_symmetry_space_group_name_H-M 'C m m m'
_symmetry_Int_Tables_number 65
_symmetry_space_group_name_Hall '-C 2 2'
_cell_length_a 5.249
_cell_length_b 15.766
_cell_length_c 3.792
_cell_angle_alpha 90.00
_cell_angle_beta 90.00
_cell_angle_gamma 90.00
loop_
_atom_site_label
_atom_site_fract_x
_atom_site_fract_y
_atom_site_fract_z
_atom_site_occupancy
Li1 0.000 0.000 0.000 1
Y1 0.000 0.167 0.500 1
Y2 0.000 0.500 0.500 1
Cd1 0.000 0.337 0.000 1
```

=====

Which one sits at the top of the stability order? Q does.

=====

--- P ---
Material: Li5Zn2Cd
Method: DFT, PBE-GGA
State: optimized geometry

Geometry as CIF:
```
data_Li5Zn2Cd
_symmetry_space_group_name_H-M 'I 4/m c m'
_symmetry_Int_Tables_number 140
_symmetry_space_group_name_Hall '-I 4 2c'
_cell_length_a 7.042
_cell_length_b 7.042
_cell_length_c 11.222
_cell_angle_alpha 90.00
_cell_angle_beta 90.00
_cell_angle_gamma 90.00
loop_
_atom_site_label
_atom_site_fract_x
_atom_site_fract_y
_atom_site_fract_z
_atom_site_occupancy
Li1 0.000 0.000 0.000 1
Li2 0.158 0.342 0.154 1
Zn1 0.134 0.366 0.500 1
Cd1 0.000 0.000 0.250 1
```

=====

--- Q ---
Material: Li5Zn2Cd
Method: DFT, PBE-GGA
State: optimized geometry

Geometry as CIF:
```
data_Li5Zn2Cd
_symmetry_space_group_name_H-M 'I 4/m m m'
_symmetry_Int_Tables_number 139
_symmetry_space_group_name_Hall '-I 4 2'
_cell_length_a 4.057
_cell_length_b 4.057
_cell_length_c 16.109
_cell_angle_alpha 90.00
_cell_angle_beta 90.00
_cell_angle_gamma 90.00
loop_
_atom_site_label
_atom_site_fract_x
_atom_site_fract_y
_atom_site_fract_z
_atom_site_occupancy
Li1 0.000 0.000 0.000 1
Li2 0.000 0.500 0.133 1
Zn1 0.000 0.000 0.249 1
Cd1 0.000 0.000 0.500 1
```

=====

Which one sits at the top of the stability order? Q does.

=====

--- P ---
Material: Li4Zn2Cd5
Method: DFT, PBE-GGA
State: optimized geometry

Geometry as CIF:
```
data_Li4Zn2Cd5
_symmetry_space_group_name_H-M 'C 1 2/m 1'
_symmetry_Int_Tables_number 12
_cell_length_a 9.422
_cell_length_b 4.393
_cell_length_c 9.917
_cell_angle_alpha 90.00
_cell_angle_beta 101.81
_cell_angle_gamma 90.00
loop_
_symmetry_equiv_pos_as_xyz
'x,y,z'
'-x,-y,-z'
'-x,y,-z'
'x,-y,z'
'x+1/2,y+1/2,z'
'-x+1/2,-y+1/2,-z'
'-x+1/2,y+1/2,-z'
'x+1/2,-y+1/2,z'
loop_
_atom_site_label
_atom_site_fract_x
_atom_site_fract_y
_atom_site_fract_z
_atom_site_occupancy
Li1 0.056 0.000 0.317 1
Li2 0.174 0.500 0.782 1
Zn1 0.091 0.500 0.133 1
Cd1 0.000 0.500 0.500 1
Cd2 0.133 0.000 0.948 1
Cd3 0.224 0.000 0.606 1
```

=====

--- Q ---
Material: Li4Zn2Cd5
Method: DFT, PBE-GGA
State: optimized geometry

Geometry as CIF:
```
data_Li4Zn2Cd5
_symmetry_space_group_name_H-M 'C 1 2/m 1'
_symmetry_Int_Tables_number 12
_cell_length_a 20.193
_cell_length_b 2.967
_cell_length_c 7.141
_cell_angle_alpha 90.00
_cell_angle_beta 93.58
_cell_angle_gamma 90.00
loop_
_symmetry_equiv_pos_as_xyz
'x,y,z'
'-x,-y,-z'
'-x,y,-z'
'x,-y,z'
'x+1/2,y+1/2,z'
'-x+1/2,-y+1/2,-z'
'-x+1/2,y+1/2,-z'
'x+1/2,-y+1/2,z'
loop_
_atom_site_label
_atom_site_fract_x
_atom_site_fract_y
_atom_site_fract_z
_atom_site_occupancy
Li1 0.044 0.000 0.346 1
Li2 0.091 0.500 0.705 1
Zn1 0.225 0.500 0.825 1
Cd1 0.000 0.500 0.000 1
Cd2 0.136 0.000 0.054 1
Cd3 0.180 0.000 0.473 1
```

=====

Which one sits at the top of the stability order? P does.

=====

--- P ---
Material: Li8ZnCd2
Method: DFT, PBE-GGA
State: optimized geometry

Geometry as CIF:
```
data_Li8ZnCd2
_symmetry_space_group_name_H-M 'C 1 2/m 1'
_symmetry_Int_Tables_number 12
_cell_length_a 10.161
_cell_length_b 5.423
_cell_length_c 7.497
_cell_angle_alpha 90.00
_cell_angle_beta 90.18
_cell_angle_gamma 90.00
loop_
_symmetry_equiv_pos_as_xyz
'x,y,z'
'-x,-y,-z'
'-x,y,-z'
'x,-y,z'
'x+1/2,y+1/2,z'
'-x+1/2,-y+1/2,-z'
'-x+1/2,y+1/2,-z'
'x+1/2,-y+1/2,z'
loop_
_atom_site_label
_atom_site_fract_x
_atom_site_fract_y
_atom_site_fract_z
_atom_site_occupancy
Li1 0.068 0.248 0.190 1
Li2 0.162 0.500 0.539 1
Li3 0.190 0.500 0.904 1
Zn1 0.000 0.000 0.500 1
Cd1 0.178 0.000 0.776 1
```

=====

--- Q ---
Material: Li8ZnCd2
Method: DFT, PBE-GGA
State: optimized geometry

Geometry as CIF:
```
data_Li8ZnCd2
_symmetry_space_group_name_H-M 'C 1 2/m 1'
_symmetry_Int_Tables_number 12
_cell_length_a 14.938
_cell_length_b 4.447
_cell_length_c 5.964
_cell_angle_alpha 90.00
_cell_angle_beta 99.46
_cell_angle_gamma 90.00
loop_
_symmetry_equiv_pos_as_xyz
'x,y,z'
'-x,-y,-z'
'-x,y,-z'
'x,-y,z'
'x+1/2,y+1/2,z'
'-x+1/2,-y+1/2,-z'
'-x+1/2,y+1/2,-z'
'x+1/2,-y+1/2,z'
loop_
_atom_site_label
_atom_site_fract_x
_atom_site_fract_y
_atom_site_fract_z
_atom_site_occupancy
Li1 0.036 0.000 0.243 1
Li2 0.095 0.500 0.941 1
Li3 0.147 0.000 0.669 1
Li4 0.173 0.500 0.405 1
Zn1 0.000 0.500 0.500 1
Cd1 0.218 0.000 0.147 1
```

=====

Which one sits at the top of the stability order? Q does.

=====

--- P ---
Material: LiZnCd
Method: DFT, PBE-GGA
State: optimized geometry

Geometry as CIF:
```
data_LiZnCd
_symmetry_space_group_name_H-M 'P 3 m 1'
_symmetry_Int_Tables_number 156
_cell_length_a 2.9816
_cell_length_b 2.9816
_cell_length_c 7.0625
_cell_angle_alpha 90.00
_cell_angle_beta 90.00
_cell_angle_gamma 120.00
loop_
_symmetry_equiv_pos_as_xyz
'x,y,z'
'-y,x-y,z'
'-x+y,-x,z'
'-y,-x,z'
'-x+y,y,z'
'x,x-y,z'
loop_
_atom_site_label
_atom_site_fract_x
_atom_site_fract_y
_atom_site_fract_z
_atom_site_occupancy
Li1 0.0000 0.0000 0.0000 1
Zn1 0.6667 0.3333 0.3046 1
Cd1 0.3333 0.6667 0.6547 1
```

=====

--- Q ---
Material: LiZnCd
Method: DFT, PBE-GGA
State: optimized geometry

Geometry as CIF:
```
data_LiZnCd
_symmetry_space_group_name_H-M 'P 1'
_symmetry_Int_Tables_number 1
_cell_length_a 4.452
_cell_length_b 5.363
_cell_length_c 5.528
_cell_angle_alpha 96.78
_cell_angle_beta 113.74
_cell_angle_gamma 114.02
loop_
_symmetry_equiv_pos_as_xyz
'x,y,z'
loop_
_atom_site_label
_atom_site_fract_x
_atom_site_fract_y
_atom_site_fract_z
_atom_site_occupancy
Li1 0.000 0.000 0.000 1
Li2 0.317 0.968 0.668 1
Zn1 0.186 0.504 0.869 1
Zn2 0.805 0.481 0.129 1
Cd1 0.505 0.497 0.515 1
Cd2 0.683 0.019 0.346 1
```

=====

Which one sits at the top of the stability order? Q does.

=====

--- P ---
Material: Li2ZnCd2
Method: DFT, PBE-GGA
State: optimized geometry

Geometry as CIF:
```
data_Li2ZnCd2
_symmetry_space_group_name_H-M 'I b a m'
_symmetry_Int_Tables_number 72
_symmetry_space_group_name_Hall '-I 2 2c'
_cell_length_a 5.581
_cell_length_b 12.866
_cell_length_c 5.059
_cell_angle_alpha 90.00
_cell_angle_beta 90.00
_cell_angle_gamma 90.00
loop_
_atom_site_label
_atom_site_fract_x
_atom_site_fract_y
_atom_site_fract_z
_atom_site_occupancy
Li1 0.135 0.096 0.000 1
Zn1 0.000 0.500 0.250 1
Cd1 0.161 0.313 0.000 1
```

=====

--- Q ---
Material: Li2ZnCd2
Method: DFT, PBE-GGA
State: optimized geometry

Geometry as CIF:
```
data_Li2ZnCd2
_symmetry_space_group_name_H-M 'C 1 2/c 1'
_symmetry_Int_Tables_number 15
_cell_length_a 9.932
_cell_length_b 5.223
_cell_length_c 7.597
_cell_angle_alpha 90.00
_cell_angle_beta 114.09
_cell_angle_gamma 90.00
loop_
_symmetry_equiv_pos_as_xyz
'x,y,z'
'-x,-y,-z'
'-x,y,-z+1/2'
'x,-y,z+1/2'
'x+1/2,y+1/2,z'
'-x+1/2,-y+1/2,-z'
'-x+1/2,y+1/2,-z+1/2'
'x+1/2,-y+1/2,z+1/2'
loop_
_atom_site_label
_atom_site_fract_x
_atom_site_fract_y
_atom_site_fract_z
_atom_site_occupancy
Li1 0.096 0.157 0.449 1
Zn1 0.000 0.334 0.750 1
Cd1 0.196 0.343 0.151 1
```

=====

Which one sits at the top of the stability order? Q does.